No. 1
The following is a DFT calculation (PBE-GGA) of a relaxed SmEr5Tm5 crystal.

Lattice parameters (Å, degrees): 6.8994 9.3995 8.1084 115.82 52.55 122.00
Last column: nearest neighbours and their distance in Å.
Fractional coordinates of all 11 atoms:
Er: 0.5000 0.0000 0.0000  6 Tm 3.32-3.41, 2 Sm 3.45, 4 Er 3.64-3.71
Er: 0.8547 0.6416 0.1592  4 Er 3.31-3.71, 7 Tm 3.39-3.65, 1 Sm 3.56
Er: 0.7445 0.6555 0.6732  7 Tm 3.24-3.56, 1 Er 3.31, 1 Sm 3.57
Er: 0.2555 0.3445 0.3268  7 Tm 3.24-3.56, 1 Er 3.31, 1 Sm 3.57
Er: 0.1453 0.3584 0.8408  4 Er 3.31-3.71, 7 Tm 3.39-3.65, 1 Sm 3.56
Tm: 0.3169 0.7164 0.6476  7 Er 3.32-3.65, 2 Tm 3.36-3.65, 1 Sm 3.46
Tm: 0.0000 0.0000 0.5000  6 Er 3.24-3.42
Tm: 0.3355 0.6799 0.2077  1 Tm 3.36, 7 Er 3.37-3.56, 1 Sm 3.65
Tm: 0.6831 0.2836 0.3524  7 Er 3.32-3.65, 2 Tm 3.36-3.65, 1 Sm 3.46
Tm: 0.6645 0.3201 0.7923  1 Tm 3.36, 7 Er 3.37-3.56, 1 Sm 3.65
Sm: 0.0000 0.0000 0.0000  6 Er 3.45-3.57, 4 Tm 3.46-3.65

Computed properties:
Energy relative to the lowest polymorph listed for this composition, eV/f.u.: 0.000
Fermi-level density of states, states/eV/f.u.: 15.91
Uncorrected energy, hartree per atom: -0.1614
ΔH_f (0 K), kJ/mol of atoms: 14.0
V, Å³ per atom: 31.7

No. 2
The following is a DFT calculation (PBE-GGA) of a relaxed Sm3Er7Tm crystal.

Lattice parameters (Å, degrees): 5.4723 10.0563 8.7932 106.57 128.45 89.99
Last column: nearest neighbours and their distance in Å.
Fractional coordinates of all 11 atoms:
Er: 0.3168 0.6367 0.8166  5 Er 3.25-3.55, 2 Tm 3.45-3.46, 2 Sm 3.50
Er: 0.1388 0.2895 0.6385  3 Er 3.25-3.55, 2 Sm 3.32-3.36
Er: 0.9025 0.8293 0.9022  3 Er 3.20-3.28, 1 Tm 3.46, 4 Sm 3.50-3.51
Er: 0.0975 0.1707 0.0978  3 Er 3.20-3.28, 1 Tm 3.46, 4 Sm 3.50-3.51
Er: 0.5000 0.0000 0.5000  4 Sm 3.36, 2 Er 3.75
Er: 0.6832 0.3633 0.1834  5 Er 3.25-3.55, 2 Tm 3.45-3.46, 2 Sm 3.50
Er: 0.8612 0.7105 0.3615  3 Er 3.25-3.55, 2 Sm 3.32-3.36
Sm: 0.0000 0.5000 0.0000  2 Tm 3.44, 10 Er 3.50-3.79
Sm: 0.7154 0.9943 0.2151  1 Sm 3.01, 4 Er 3.32-3.36
Sm: 0.2846 0.0057 0.7849  1 Sm 3.01, 4 Er 3.32-3.36
Tm: 0.5000 0.5000 0.5000  2 Sm 3.44, 10 Er 3.45-3.79

Computed properties:
Energy relative to the lowest polymorph listed for this composition, eV/f.u.: 0.000
Fermi-level density of states, states/eV/f.u.: 17.37
Uncorrected energy, hartree per atom: -0.1633
ΔH_f (0 K), kJ/mol of atoms: 14.9
V, Å³ per atom: 32.1